A geometry-optimized NbCr2NiH structure. Source: Alexandria via LeMat-Bulk, functional GGA-PBE.

- Magnetic moment: 0.39 μB per formula unit
- E: -7.61 eV per atom
- Crystal system: tetragonal

Unit cell a=3.822 b=3.822 c=3.711 alpha=90.00 beta=90.00 gamma=90.00
Each line ends with the local moment (μB).
Element x y z (fractional)
Cr  0.500  0.000  0.000  0.19
Cr  0.000  0.500  0.000  0.19
Nb  0.500  0.500  0.500  -0.03
H  0.000  0.000  0.000  0.00
Ni  0.000  0.000  0.500  0.01

=====

A geometry-optimized Nb2CrNiH structure. Source: Alexandria via LeMat-Bulk, functional GGA-PBE.

- Magnetic moment: 0.00 μB per formula unit
- Crystal system: tetragonal
- Polymorph energy (0 for the lowest one): 0.00 eV/f.u.

Unit cell a=4.291 b=4.291 c=3.340 alpha=90.00 beta=90.00 gamma=90.00
Element x y z (fractional)
Ni  0.000  0.000  0.500
Nb  0.000  0.500  0.000
Nb  0.500  0.000  0.000
Cr  0.500  0.500  0.500
H  0.000  0.000  0.000

=====

A geometry-optimized Nb2CrHPt structure. Source: Alexandria via LeMat-Bulk, functional GGA-PBE.

- Magnetic moment: 0.00 μB per formula unit
- E: -8.04 eV per atom
- Crystal system: tetragonal

Unit cell a=4.185 b=4.185 c=3.754 alpha=90.00 beta=90.00 gamma=90.00
Element x y z (fractional)
Nb  0.000  0.500  0.000
Nb  0.500  0.000  0.000
Pt  0.500  0.500  0.500
H  0.000  0.000  0.000
Cr  0.000  0.000  0.500

=====

A geometry-optimized Nb2CrReH structure. Source: Alexandria via LeMat-Bulk, functional GGA-PBE.

- Magnetic moment: 0.00 μB per formula unit
- E: -9.20 eV per atom
- Crystal system: tetragonal

Unit cell a=4.471 b=3.276 c=4.471 alpha=90.00 beta=90.00 gamma=90.00
Element x y z (fractional)
Nb  0.000  0.000  0.500
Nb  0.500  0.000  0.000
Cr  0.000  0.500  0.000
Re  0.500  0.500  0.500
H  0.000  0.000  0.000

=====

A geometry-optimized NbCr2ReH structure. Source: Alexandria via LeMat-Bulk, functional GGA-PBE.

- Magnetic moment: 1.76 μB per formula unit
- E: -8.85 eV per atom
- Crystal system: tetragonal

Unit cell a=3.780 b=3.780 c=4.196 alpha=90.00 beta=90.00 gamma=90.00
Each line ends with the local moment (μB).
Element x y z (fractional)
H  0.000  0.000  0.000  -0.01
Re  0.500  0.500  0.500  -0.09
Cr  0.500  0.000  0.000  0.89
Cr  0.000  0.500  0.000  0.89
Nb  0.000  0.000  0.500  -0.02

=====

A geometry-optimized Nb2CrHRu6 structure. Source: Alexandria via LeMat-Bulk, functional GGA-PBE.

- Magnetic moment: 0.00 μB per formula unit
- E: -8.74 eV per atom
- Crystal system: triclinic

Unit cell a=5.240 b=6.507 c=6.552 alpha=49.24 beta=67.31 gamma=92.62
Element x y z (fractional)
Nb  0.797  0.215  0.431
Nb  0.203  0.785  0.569
Ru  0.286  0.807  0.049
Ru  0.821  0.782  0.971
Ru  0.714  0.193  0.951
Ru  0.289  0.320  0.525
Ru  0.711  0.680  0.475
Ru  0.178  0.218  0.029
H  0.000  0.000  0.000
Cr  0.500  0.500  0.000

=====

A geometry-optimized NbCr2HRu structure. Source: Alexandria via LeMat-Bulk, functional GGA-PBE.

- Magnetic moment: 0.61 μB per formula unit
- Crystal system: tetragonal
- Polymorph energy (0 for the lowest one): 0.09 eV/f.u.

Unit cell a=3.847 b=3.847 c=3.930 alpha=90.00 beta=90.00 gamma=90.00
Each line ends with the local moment (μB).
Element x y z (fractional)
H  0.000  0.000  0.000  0.00
Cr  0.000  0.500  0.000  0.29
Cr  0.500  0.000  0.000  0.29
Ru  0.000  0.000  0.500  0.01
Nb  0.500  0.500  0.500  -0.03

=====

A geometry-optimized NbCr2HRu structure. Source: Alexandria via LeMat-Bulk, functional GGA-PBE.

- Magnetic moment: 2.41 μB per formula unit
- Crystal system: tetragonal
- Polymorph energy (0 for the lowest one): 0.00 eV/f.u.

Unit cell a=3.741 b=3.741 c=4.214 alpha=90.00 beta=90.00 gamma=90.00
Each line ends with the local moment (μB).
Element x y z (fractional)
H  0.000  0.000  0.000  -0.01
Cr  0.000  0.500  0.000  1.08
Cr  0.500  0.000  0.000  1.08
Ru  0.500  0.500  0.500  0.19
Nb  0.000  0.000  0.500  -0.07